1.
The following is a DFT calculation (PBE) of K4Pr3TiS8 after structural relaxation.

a b c (Å): 8.204 8.778 8.205
angles (deg): 117.88 120.00 90.00
Site moments in Bohr magnetons follow the coordinates.
Fractional positions:
Pr: 0.500 0.500 0.500  0.01
Pr: 0.000 0.500 0.500  0.01
Pr: 0.500 0.500 0.000  0.01
K: 0.500 0.000 0.000  0.00
K: 0.000 0.000 0.500  0.00
K: 0.000 0.000 0.000  0.00
K: 0.500 0.000 0.500  0.00
Ti: 0.000 0.500 0.000  0.83
S: 0.220 0.699 0.439  -0.01
S: 0.760 0.699 0.980  -0.01
S: 0.219 0.699 0.980  -0.01
S: 0.738 0.714 0.476  0.00
S: 0.262 0.286 0.524  0.00
S: 0.781 0.301 0.020  -0.01
S: 0.780 0.301 0.561  -0.01
S: 0.240 0.301 0.020  -0.01

E, eV per cell: -86.162
E_form (uncorrected), eV per atom: -1.6574
Theoretical density, Mg/m³: 3.4
Crystal system: trigonal
Spin magnetization, μB/atom: 0.063

=====

2.
The following is a DFT calculation (PBE) of CuIr2Au after structural relaxation.

a b c (Å): 4.831 4.831 2.771
angles (deg): 90.00 90.00 112.32
Fractional positions:
Cu: 0.000 0.500 0.500
Au: 0.500 0.000 0.500
Ir: 0.000 0.000 0.000
Ir: 0.500 0.500 0.000

E, eV per cell: -23.464
Formation enthalpy at 0 K, eV per formula unit: 1.63
Theoretical density, Mg/m³: 17.9
Crystal system: orthorhombic
Spin magnetization, μB/atom: 0.000

=====

3.
The following is a DFT calculation (PBE) of CaPPt after structural relaxation.

a b c (Å): 6.058 3.953 10.648
angles (deg): 90.00 107.55 90.00
Fractional positions:
Pt: 0.648 0.500 0.319
Pt: 0.352 0.000 0.181
Pt: 0.648 0.000 0.819
Pt: 0.352 0.500 0.681
Ca: 0.795 0.500 0.617
Ca: 0.205 0.500 0.383
Ca: 0.205 0.000 0.883
Ca: 0.795 0.000 0.117
P: 0.856 0.000 0.399
P: 0.144 0.500 0.101
P: 0.144 0.000 0.601
P: 0.856 0.500 0.899

E, eV per cell: -65.701
Formation enthalpy at 0 K, eV per formula unit: -2.97
Theoretical density, Mg/m³: 7.3
Crystal system: monoclinic
Spin magnetization, μB/atom: 0.000

=====

4.
The following is a DFT calculation (PBE) of Tm4Zn2Pt after structural relaxation.

a b c (Å): 5.986 5.986 5.986
angles (deg): 110.11 109.15 109.15
Fractional positions:
Tm: 0.000 0.000 0.500
Tm: 0.000 0.500 0.000
Tm: 0.500 0.000 0.000
Tm: 0.500 0.500 0.500
Zn: 0.500 0.500 0.000
Zn: 0.500 0.000 0.500
Pt: 0.000 0.000 0.000

E, eV per cell: -30.144
Formation enthalpy at 0 K, eV per formula unit: -3.67
Theoretical density, Mg/m³: 10.1
Crystal system: tetragonal
Spin magnetization, μB/atom: 0.000